*P*
Here is a geometry-optimized Sm2ErTm structure from Alexandria. Energies are from GGA-PBE.

The structure in CIF format:
```
data_Sm2ErTm
_chemical_formula_sum 'Sm2 Er1 Tm1'
_space_group_name_H-M_alt 'P 1'
_space_group_IT_number 1
_cell_length_a 11.698
_cell_length_b 11.698
_cell_length_c 11.698
_cell_angle_alpha 17.62
_cell_angle_beta 17.62
_cell_angle_gamma 17.62
loop_
_space_group_symop_operation_xyz
'x,y,z'
loop_
_atom_site_label
_atom_site_type_symbol
_atom_site_fract_x
_atom_site_fract_y
_atom_site_fract_z
_atom_site_occupancy
Sm1 Sm 0.000 0.000 0.000 1
Sm2 Sm 0.165 0.165 0.165 1
Er1 Er 0.583 0.583 0.583 1
Tm1 Tm 0.416 0.416 0.416 1
```

Values from the calculation:
Total magnetization ... 0.00 μB per formula unit
Symmetry ... R3m, No. 160

***

*Q*
Here is a geometry-optimized Sm2ErTm structure from Alexandria. Energies are from GGA-PBE.

The structure in CIF format:
```
data_Sm2ErTm
_chemical_formula_sum 'Sm2 Er1 Tm1'
_space_group_name_H-M_alt 'P 1'
_space_group_IT_number 1
_cell_length_a 3.567
_cell_length_b 3.567
_cell_length_c 10.046
_cell_angle_alpha 90.00
_cell_angle_beta 90.00
_cell_angle_gamma 90.00
loop_
_space_group_symop_operation_xyz
'x,y,z'
loop_
_atom_site_label
_atom_site_type_symbol
_atom_site_fract_x
_atom_site_fract_y
_atom_site_fract_z
_atom_site_occupancy
Sm1 Sm 0.000 0.000 0.249 1
Sm2 Sm 0.000 0.000 0.751 1
Er1 Er 0.500 0.500 0.500 1
Tm1 Tm 0.500 0.500 0.000 1
```

Values from the calculation:
Total magnetization ... 0.00 μB per formula unit
Symmetry ... P4/mmm, No. 123

***

Question: of the structures shown, which is the least stable? Reply: *Q*.